(1)
Computed, not measured: a geometry-optimized TlHg2Bi structure at the PBE-GGA level of DFT.

POSCAR file:
```
TlHg2Bi
1.0
3.6191 0.0000 0.0000
0.0000 3.6191 0.0000
0.0000 0.0000 8.8117
Tl Hg Bi
1 2 1
direct
0.0000 0.0000 0.0000
0.5000 0.5000 0.2487
0.5000 0.5000 0.7513
0.0000 0.0000 0.5000
```

Formation enthalpy at 0 K (eV per atom): 0.052
SG: P4/mmm (123)

***

(2)
Computed, not measured: a geometry-optimized Tl16Hg6Bi7 structure at the PBE-GGA level of DFT.

POSCAR file:
```
Tl16Hg6Bi7
1.0
0.0000 7.8125 7.8125
7.8125 0.0000 7.8125
7.8125 7.8125 0.0000
Tl Hg Bi
16 6 7
direct
0.1183 0.6272 0.6272
0.1218 0.1218 0.1218
0.1218 0.1218 0.6346
0.1218 0.6346 0.1218
0.3654 0.8782 0.8782
0.3728 0.3728 0.3728
0.3728 0.3728 0.8817
0.3728 0.8817 0.3728
0.6272 0.1183 0.6272
0.6272 0.6272 0.1183
0.6272 0.6272 0.6272
0.6346 0.1218 0.1218
0.8782 0.3654 0.8782
0.8782 0.8782 0.3654
0.8782 0.8782 0.8782
0.8817 0.3728 0.3728
0.2472 0.2472 0.7528
0.2472 0.7528 0.2472
0.2472 0.7528 0.7528
0.7528 0.2472 0.2472
0.7528 0.2472 0.7528
0.7528 0.7528 0.2472
0.0000 0.0000 0.5000
0.0000 0.5000 0.0000
0.0000 0.5000 0.5000
0.5000 0.0000 0.0000
0.5000 0.0000 0.5000
0.5000 0.5000 0.0000
0.5000 0.5000 0.5000
```

Formation enthalpy at 0 K (eV per atom): -0.014
SG: Fm-3m (225)

***

(3)
Computed, not measured: a geometry-optimized Tl5Hg2Bi2 structure at the PBE-GGA level of DFT.

POSCAR file:
```
Tl5Hg2Bi2
1.0
6.7586 0.0000 0.0000
-0.6925 9.2930 0.0000
-0.7536 -2.6288 8.9729
Tl Hg Bi
10 4 4
direct
0.0000 0.0000 0.0000
0.0074 0.5630 0.9670
0.0545 0.0780 0.6675
0.3175 0.1940 0.3667
0.3328 0.5633 0.4025
0.5042 0.9620 0.5689
0.5514 0.6741 0.1045
0.6545 0.7187 0.7644
0.8217 0.3603 0.2025
0.8337 0.3881 0.5750
0.1664 0.7452 0.7234
0.1873 0.8321 0.2574
0.4951 0.9967 0.0127
0.7018 0.2359 0.8448
0.3149 0.3188 0.0508
0.3383 0.4088 0.7289
0.8075 0.0426 0.3292
0.8362 0.7125 0.4283
```

Formation enthalpy at 0 K (eV per atom): -0.001
Energy above the most stable polymorph in this dataset (meV per atom): 0
SG: P1 (1)